K2NbBr5 | PBE-GGA | optimized geometry

Unit cell a=8.097 b=8.097 c=7.364 alpha=123.33 beta=123.33 gamma=90.03
Sites, in units of the cell vectors:
Br: 0.246 0.793 0.039
Br: 0.246 0.246 0.040
Br: 0.793 0.793 0.040
Br: 0.793 0.246 0.039
Br: 0.705 0.705 0.410
Nb: 0.970 0.970 0.941
K: 0.761 0.261 0.523
K: 0.261 0.761 0.522

Output
E_form (uncorrected): -1.17 eV/atom
Crystal system: tetragonal
Space group: I4mm, No. 107